{
  "formula": "Tb5Tm3S8",
  "functional": "PBE-GGA",
  "state": "relaxed",
  "e_form_raw_ev_per_atom": -1.976,
  "lattice_angstrom": [[3.891, 2.247, 6.378], [-3.891, 2.247, 6.378], [0.000, -4.493, 6.378]],
  "species": ["Tb", "Tb", "Tb", "Tb", "Tb", "Tm", "Tm", "Tm", "S", "S", "S", "S", "S", "S", "S", "S"],
  "fractional_positions": [[0.000, 0.000, 0.000], [0.000, 0.500, 0.500], [0.500, 0.000, 0.500], [0.500, 0.500, 0.000], [0.500, 0.500, 0.500], [0.000, 0.000, 0.500], [0.000, 0.500, 0.000], [0.500, 0.000, 0.000], [0.244, 0.750, 0.750], [0.247, 0.247, 0.247], [0.250, 0.250, 0.756], [0.250, 0.756, 0.250], [0.750, 0.244, 0.750], [0.750, 0.750, 0.244], [0.753, 0.753, 0.753], [0.756, 0.250, 0.250]]
}

{
  "formula": "TbTm3S4",
  "functional": "PBE-GGA",
  "state": "relaxed",
  "e_form_raw_ev_per_atom": -1.946,
  "polymorph_energy_ev_per_fu": 0.00,
  "lattice_angstrom": [[7.793, 0.000, 0.000], [0.000, 10.932, 0.000], [0.000, 0.000, 3.827]],
  "species": ["Tb", "Tb", "Tm", "Tm", "Tm", "Tm", "Tm", "Tm", "S", "S", "S", "S", "S", "S", "S", "S"],
  "fractional_positions": [[0.000, 0.000, 0.000], [0.500, 0.500, 0.000], [0.000, 0.500, 0.000], [0.250, 0.250, 0.500], [0.250, 0.750, 0.500], [0.500, 0.000, 0.000], [0.750, 0.250, 0.500], [0.750, 0.750, 0.500], [0.000, 0.253, 0.000], [0.000, 0.747, 0.000], [0.244, 0.500, 0.500], [0.256, 0.000, 0.500], [0.500, 0.247, 0.000], [0.500, 0.753, 0.000], [0.744, 0.000, 0.500], [0.756, 0.500, 0.500]]
}

{
  "formula": "Tb2Tm3S6",
  "functional": "PBE-GGA",
  "state": "relaxed",
  "e_form_raw_ev_per_atom": -2.063,
  "lattice_angstrom": [[3.359, -5.794, 0.000], [3.359, 5.794, 0.000], [-2.232, 0.000, 6.326]],
  "species": ["Tb", "Tb", "Tm", "Tm", "Tm", "S", "S", "S", "S", "S", "S"],
  "fractional_positions": [[0.165, 0.835, 0.000], [0.835, 0.165, 0.000], [0.000, 0.000, 0.500], [0.336, 0.664, 0.500], [0.664, 0.336, 0.500], [0.082, 0.414, 0.743], [0.254, 0.254, 0.252], [0.414, 0.082, 0.743], [0.586, 0.918, 0.257], [0.746, 0.746, 0.748], [0.918, 0.586, 0.257]]
}

{
  "formula": "Tb3TmS",
  "functional": "PBE-GGA",
  "state": "relaxed",
  "e_form_raw_ev_per_atom": -0.652,
  "lattice_angstrom": [[5.308, 0.000, 0.000], [0.000, 5.308, 0.000], [0.000, 0.000, 5.308]],
  "species": ["Tb", "Tb", "Tb", "Tm", "S"],
  "fractional_positions": [[0.000, 0.000, 0.500], [0.000, 0.500, 0.000], [0.500, 0.000, 0.000], [0.500, 0.500, 0.500], [0.000, 0.000, 0.000]]
}

Number 1: D(E_F) 8.7 states/eV/f.u.. Number 2: D(E_F) 4.8 states/eV/f.u.. Number 3: D(E_F) 3.8 states/eV/f.u.. Number 4: D(E_F) 7.0 states/eV/f.u..